No. 1
TePtRh2 after structural relaxation. Source: the Alexandria database, functional PBE-GGA.

Calculated values
**Polymorph energy (0 for the lowest one)**: 25 meV/atom
**Symmetry**: C2/m, No. 12
**Raw formation energy**: 0.0216 eV/atom
**Crystal system**: monoclinic

Lattice parameters (Å, degrees): 4.631 4.631 4.648 72.96 72.96 45.20
Fractional coordinates of all 4 atoms:
Rh (0.755, 0.755, 0.253)
Te (0.500, 0.500, 0.000)
Pt (0.000, 0.000, 0.500)
Rh (0.245, 0.245, 0.747)



No. 2
TePtRh2 after structural relaxation. Source: the Alexandria database, functional PBE-GGA.

Calculated values
**Polymorph energy (0 for the lowest one)**: 63 meV/atom
**Symmetry**: Cm, No. 8
**Raw formation energy**: 0.0594 eV/atom
**Crystal system**: monoclinic

Lattice parameters (Å, degrees): 4.803 4.803 4.532 75.72 75.72 41.58
Fractional coordinates of all 4 atoms:
Pt (0.750, 0.750, 0.774)
Te (0.502, 0.502, 0.477)
Rh (0.246, 0.246, 0.257)
Rh (0.002, 0.002, 0.992)



No. 3
TePtRh2 after structural relaxation. Source: the Alexandria database, functional PBE-GGA.

Calculated values
**Polymorph energy (0 for the lowest one)**: 0 meV/atom
**Symmetry**: Cmmm, No. 65
**Raw formation energy**: -0.0035 eV/atom
**Crystal system**: orthorhombic

Lattice parameters (Å, degrees): 4.420 4.420 3.459 90.00 90.00 101.93
Fractional coordinates of all 4 atoms:
Pt (0.500, 0.500, 0.500)
Te (0.000, 0.000, 0.500)
Rh (0.000, 0.500, 0.000)
Rh (0.500, 0.000, 0.000)



No. 4
TePtRh2 after structural relaxation. Source: the Alexandria database, functional PBE-GGA.

Calculated values
**Polymorph energy (0 for the lowest one)**: 56 meV/atom
**Symmetry**: Imm2, No. 44
**Raw formation energy**: 0.0521 eV/atom
**Crystal system**: orthorhombic

Lattice parameters (Å, degrees): 5.164 5.164 5.164 138.81 131.83 65.20
Fractional coordinates of all 4 atoms:
Pt (0.271, 0.771, 0.500)
Rh (0.725, 0.225, 0.500)
Te (0.504, 0.504, 0.000)
Rh (0.000, 0.000, 0.000)



No. 5
TePtRh2 after structural relaxation. Source: the Alexandria database, functional PBE-GGA.

Calculated values
**Polymorph energy (0 for the lowest one)**: 22 meV/atom
**Symmetry**: Fm-3m, No. 225
**Raw formation energy**: 0.0188 eV/atom
**Crystal system**: cubic

Lattice parameters (Å, degrees): 4.531 4.531 4.531 60.00 60.00 60.00
Fractional coordinates of all 4 atoms:
Rh (0.750, 0.750, 0.750)
Te (0.000, 0.000, 0.000)
Rh (0.250, 0.250, 0.250)
Pt (0.500, 0.500, 0.500)



No. 6
Te6PtRh2 after structural relaxation. Source: the Alexandria database, functional PBE-GGA.

Calculated values
**Polymorph energy (0 for the lowest one)**: 273 meV/atom
**Symmetry**: P4_2/mnm, No. 136
**Raw formation energy**: -0.1400 eV/atom
**Crystal system**: tetragonal

Lattice parameters (Å, degrees): 6.154 6.154 12.624 90.00 90.00 90.00
Fractional coordinates of all 18 atoms:
Te (0.306, 0.306, 0.170)
Te (0.806, 0.194, 0.670)
Te (0.194, 0.806, 0.330)
Rh (0.500, 0.500, 0.335)
Te (0.309, 0.309, 0.500)
Rh (0.000, 0.000, 0.165)
Rh (0.500, 0.500, 0.665)
Pt (0.000, 0.000, 0.500)
Te (0.691, 0.691, 0.500)
Te (0.306, 0.306, 0.830)
Te (0.806, 0.194, 0.330)
Te (0.191, 0.809, 0.000)
Te (0.809, 0.191, 0.000)
Rh (0.000, 0.000, 0.835)
Te (0.694, 0.694, 0.170)
Te (0.194, 0.806, 0.670)
Pt (0.500, 0.500, 0.000)
Te (0.694, 0.694, 0.830)



No. 7
Te4PtRh after structural relaxation. Source: the Alexandria database, functional PBE-GGA.

Calculated values
**Polymorph energy (0 for the lowest one)**: 1554 meV/atom
**Symmetry**: F-43m, No. 216
**Raw formation energy**: 1.1311 eV/atom
**Crystal system**: cubic

Lattice parameters (Å, degrees): 6.038 6.038 6.038 60.00 60.00 60.00
Fractional coordinates of all 6 atoms:
Pt (0.750, 0.750, 0.750)
Te (0.376, 0.873, 0.376)
Te (0.873, 0.376, 0.376)
Te (0.376, 0.376, 0.376)
Te (0.376, 0.376, 0.873)
Rh (0.000, 0.000, 0.000)



No. 8
Te12Pt5Rh after structural relaxation. Source: the Alexandria database, functional PBE-GGA.

Calculated values
**Symmetry**: C2/m, No. 12
**Raw formation energy**: -0.4054 eV/atom
**Crystal system**: monoclinic

Lattice parameters (Å, degrees): 7.013 7.017 11.597 84.18 78.30 60.02
Fractional coordinates of all 18 atoms:
Te (0.960, 0.670, 0.119)
Te (0.793, 0.667, 0.621)
Rh (0.000, 0.000, 0.000)
Pt (0.333, 0.333, 0.000)
Te (0.541, 0.667, 0.379)
Te (0.710, 0.000, 0.881)
Te (0.459, 0.333, 0.621)
Te (0.040, 0.330, 0.881)
Te (0.630, 0.330, 0.119)
Te (0.207, 0.333, 0.379)
Te (0.874, 0.000, 0.379)
Pt (0.667, 0.667, 0.000)
Te (0.126, 0.000, 0.621)
Te (0.290, 0.000, 0.119)
Pt (0.500, 0.000, 0.500)
Pt (0.167, 0.666, 0.500)
Pt (0.833, 0.334, 0.500)
Te (0.370, 0.670, 0.881)



No. 9
Te4PtRh after structural relaxation. Source: the Alexandria database, functional PBE-GGA.

Calculated values
**Polymorph energy (0 for the lowest one)**: 0 meV/atom
**Symmetry**: P2/m, No. 10
**Raw formation energy**: -0.4231 eV/atom
**Crystal system**: monoclinic

Lattice parameters (Å, degrees): 4.043 5.329 7.018 89.80 90.00 90.00
Fractional coordinates of all 6 atoms:
Te (0.000, 0.748, 0.673)
Rh (0.000, 0.000, 0.000)
Te (0.500, 0.252, 0.837)
Te (0.000, 0.252, 0.327)
Te (0.500, 0.748, 0.163)
Pt (0.500, 0.000, 0.500)



No. 10
TePtRh2 after structural relaxation. Source: the Alexandria database, functional PBE-GGA.

Calculated values
**Polymorph energy (0 for the lowest one)**: 458 meV/atom
**Symmetry**: I-42d, No. 122
**Raw formation energy**: 0.4547 eV/atom
**Crystal system**: tetragonal

Lattice parameters (Å, degrees): 5.475 5.475 7.453 68.45 68.45 90.00
Fractional coordinates of all 8 atoms:
Rh (0.875, 0.882, 0.750)
Rh (0.375, 0.368, 0.750)
Rh (0.118, 0.625, 0.250)
Te (0.500, 0.500, 0.000)
Pt (0.000, 0.000, 0.000)
Te (0.250, 0.750, 0.500)
Pt (0.750, 0.250, 0.500)
Rh (0.632, 0.125, 0.250)



No. 11
Te8PtRh3 after structural relaxation. Source: the Alexandria database, functional PBE-GGA.

Calculated values
**Symmetry**: P-1, No. 2
**Raw formation energy**: -0.4111 eV/atom
**Crystal system**: triclinic

Lattice parameters (Å, degrees): 8.019 8.018 8.789 133.25 89.94 120.00
Fractional coordinates of all 12 atoms:
Rh (0.500, 0.500, 0.000)
Te (0.295, 0.082, 0.252)
Te (0.787, 0.083, 0.252)
Rh (0.000, 0.500, 0.000)
Te (0.705, 0.918, 0.748)
Te (0.295, 0.590, 0.251)
Pt (0.000, 0.000, 0.000)
Te (0.213, 0.917, 0.748)
Te (0.705, 0.410, 0.749)
Te (0.208, 0.415, 0.748)
Rh (0.500, 0.000, 0.000)
Te (0.792, 0.585, 0.252)



No. 12
Te3PtRh after structural relaxation. Source: the Alexandria database, functional PBE-GGA.

Calculated values
**Polymorph energy (0 for the lowest one)**: 0 meV/atom
**Symmetry**: Pm-3m, No. 221
**Raw formation energy**: 0.7341 eV/atom
**Crystal system**: cubic

Lattice parameters (Å, degrees): 5.128 5.128 5.128 90.00 90.00 90.00
Fractional coordinates of all 5 atoms:
Te (0.000, 0.000, 0.500)
Pt (0.500, 0.500, 0.500)
Te (0.000, 0.500, 0.000)
Rh (0.000, 0.000, 0.000)
Te (0.500, 0.000, 0.000)



| no. | M_tot (μB/cell) |
| --- | --- |
| 1 | 0.0 |
| 2 | 0.0 |
| 3 | 0.0 |
| 4 | 0.5 |
| 5 | 0.0 |
| 6 | 0.0 |
| 7 | 0.4 |
| 8 | 0.0 |
| 9 | 0.0 |
| 10 | 0.0 |
| 11 | 0.0 |
| 12 | 0.0 |